1.
Here is a relaxed structure of BeNi2Te from Alexandria. Energies are from PBE-GGA.

Summary:
SG   P4/mmm (123)
Total magnetization   0.0 μB/f.u.
Energy relative to the elements, uncorrected   0.091 eV/atom

Cell and atoms, written as CIF:
```
data_BeNi2Te
_cell_length_a 3.823
_cell_length_b 3.823
_cell_length_c 3.579
_cell_angle_alpha 90.00
_cell_angle_beta 90.00
_cell_angle_gamma 90.00
_symmetry_space_group_name_H-M 'P 1'
_symmetry_Int_Tables_number 1
_symmetry_space_group_name_Hall 'P 1'
loop_
_atom_site_label
_atom_site_fract_x
_atom_site_fract_y
_atom_site_fract_z
Be1 0.000 0.000 0.000
Ni1 0.000 0.500 0.500
Ni2 0.500 0.000 0.500
Te1 0.500 0.500 0.000
```

---

2.
Here is a relaxed structure of NaAu3C from Alexandria. Energies are from PBE-GGA.

Summary:
SG   Pm-3m (221)
Total magnetization   1.4 μB/f.u.
Formation enthalpy at 0 K   2.19 eV per atom

Cell and atoms, written as CIF:
```
data_NaAu3C
_cell_length_a 4.991
_cell_length_b 4.991
_cell_length_c 4.991
_cell_angle_alpha 90.00
_cell_angle_beta 90.00
_cell_angle_gamma 90.00
_symmetry_space_group_name_H-M 'P 1'
_symmetry_Int_Tables_number 1
_symmetry_space_group_name_Hall 'P 1'
loop_
_atom_site_label
_atom_site_fract_x
_atom_site_fract_y
_atom_site_fract_z
Na1 0.000 0.000 0.000
Au1 0.000 0.000 0.500
Au2 0.000 0.500 0.000
Au3 0.500 0.000 0.000
C1 0.500 0.500 0.500
```

---

no.,energy (eV per atom),relative energy among the computed polymorphs (meV per atom)
1,-4.5164,119.4
2,-1.8856,1824.9